Ge2Pb2Au | the Alexandria database | GGA-PBEsol | relaxed; E_form = 0.64 eV/f.u.; space-group type = I4/mmm
1.0
-1.829 1.829 8.758
1.829 -1.829 8.758
1.829 1.829 -8.758
Ge Pb Au
2 2 1
direct
0.250 0.750 0.500 Ge
0.750 0.250 0.500 Ge
0.098 0.098 0.000 Pb
0.902 0.902 0.000 Pb
0.500 0.500 0.000 Au



GeTe2PdAu | the Alexandria database | GGA-PBEsol | relaxed; energy relative to the elements, uncorrected = 0.459 eV/atom; space-group type = P4/mmm
1.0
5.291 0.000 0.000
0.000 5.291 0.000
0.000 0.000 4.581
Ge Te Pd Au
1 2 1 1
direct
0.000 0.000 0.000 Ge
0.000 0.500 0.500 Te
0.500 0.000 0.500 Te
0.000 0.000 0.500 Pd
0.500 0.500 0.000 Au



no.,total magnetic moment (Bohr magnetons per cell),energy (eV per atom),theoretical density (g/cm³)
1,0.00,-4.232,10.72
2,0.00,-3.916,8.17